Record 1
VASP calculation (meta-GGA SCAN) on a crystal of Mo2CO relaxed with PBEsol.

It has space group Fm-3m (No. 225), with a = 5.405 Å, b = 5.405 Å, c = 5.405 Å, α = 90.00°, β = 90.00° and γ = 90.00°. Symmetry generates all atoms from Mo at (0.250, 0.250, 0.250), C at (0.000, 0.000, 0.000) and O at (0.000, 0.000, 0.500).

The formation energy (no corrections) is 89 meV/atom. Its total magnetization is 0.000 μB/atom. As for the offset from the most stable computed form: 187 meV per atom. The calculation puts the total energy at -21.4360 eV/atom.

Record 2
VASP calculation (meta-GGA SCAN) on a crystal of ZnHg3 relaxed with PBEsol.

It has space group P2/m (No. 10), with a = 4.214 Å, b = 3.501 Å, c = 5.931 Å, α = 90.00°, β = 103.17° and γ = 90.00°. Symmetry generates all atoms from Zn at (0.000, 0.000, 0.000), Hg at (0.000, 0.000, 0.500) and Hg at (0.460, 0.500, 0.239).

The formation energy is 97 meV per atom. Its total magnetization is 0.000 μB/atom. As for the offset from the most stable computed form: 29 meV per atom. The calculation puts the total energy at -54.4063 eV/atom.

Record 3
VASP calculation (meta-GGA SCAN) on a crystal of Ba2BeSb2 relaxed with PBEsol.

It has space group P4/mbm (No. 127), with a = 7.334 Å, b = 7.334 Å, c = 5.500 Å, α = 90.00°, β = 90.00° and γ = 90.00°. Symmetry generates all atoms from Ba at (0.174, 0.326, 0.000), Be at (0.000, 0.000, 0.500) and Sb at (0.141, 0.641, 0.500).

The formation energy (no corrections) is -366 meV/atom. Its total magnetization is 0.000 μB/atom. The calculation puts the total energy at -31.9608 eV/atom.

Record 4
VASP calculation (meta-GGA SCAN) on a crystal of Sb4PbAu relaxed with PBEsol.

It has space group F-43m (No. 216), with a = 8.684 Å, b = 8.684 Å, c = 8.684 Å, α = 90.00°, β = 90.00° and γ = 90.00°. Symmetry generates all atoms from Sb at (0.124, 0.124, 0.376), Pb at (0.000, 0.000, 0.000) and Au at (0.250, 0.250, 0.750).

The formation energy (no corrections) is 395 meV/atom. Its total magnetization is 0.000 μB/atom. The calculation puts the total energy at -48.6017 eV/atom.

Record 5
VASP calculation (meta-GGA SCAN) on a crystal of Cu3BiMo relaxed with PBEsol.

It has space group Pm-3m (No. 221), with a = 4.627 Å, b = 4.627 Å, c = 4.627 Å, α = 90.00°, β = 90.00° and γ = 90.00°. Symmetry generates all atoms from Cu at (0.000, 0.000, 0.500), Bi at (0.500, 0.500, 0.500) and Mo at (0.000, 0.000, 0.000).

The formation energy is 1379 meV per atom. Its total magnetization is 0.000 μB/atom. The calculation puts the total energy at -30.4332 eV/atom.

Record 6
VASP calculation (meta-GGA SCAN) on a crystal of CrMo3 relaxed with PBEsol.

It has space group P4/mmm (No. 123), with a = 4.323 Å, b = 4.323 Å, c = 3.068 Å, α = 90.00°, β = 90.00° and γ = 90.00°. Symmetry generates all atoms from Cr at (0.000, 0.000, 0.000), Mo at (0.000, 0.500, 0.500) and Mo at (0.500, 0.500, 0.000).

The formation energy is 60 meV per atom. Its total magnetization is 0.060 μB/atom. The calculation puts the total energy at -30.6998 eV/atom.